First-principles (PBE-GGA) data for a geometry-optimized Tm6Tl5Rh structure, as listed in Alexandria.

Unit cell a=9.0080 b=9.0080 c=9.0080 alpha=146.07 beta=131.16 gamma=60.79
Closest atoms and distances in Å follow each position.
Sites, in units of the cell vectors:
Tm 0.0780 0.3463 0.7317  1 Rh 2.95, 4 Tl 3.11-3.27
Tm 0.2258 0.0000 0.2258  2 Rh 3.12, 6 Tl 3.26-3.33, 1 Tm 3.36
Tm 0.3854 0.6537 0.7317  1 Rh 2.95, 4 Tl 3.11-3.27
Tm 0.6146 0.3463 0.2683  1 Rh 2.95, 4 Tl 3.11-3.27
Tm 0.7742 0.0000 0.7742  2 Rh 3.12, 6 Tl 3.26-3.33, 1 Tm 3.36
Tm 0.9220 0.6537 0.2683  1 Rh 2.95, 4 Tl 3.11-3.27
Tl 0.1799 0.1799 0.0000  8 Tm 3.17-3.27
Tl 0.3356 0.8356 0.5000  8 Tm 3.27-3.31, 2 Tl 3.57
Tl 0.5000 0.5000 0.0000  8 Tm 3.11-3.33
Tl 0.6644 0.1644 0.5000  8 Tm 3.27-3.31, 2 Tl 3.57
Tl 0.8201 0.8201 0.0000  8 Tm 3.17-3.27
Rh 0.0000 0.5000 0.5000  8 Tm 2.95-3.12

Values from the calculation:
Total energy in eV/atom: -4.221
Mass density in g/cm3: 11.674
Calculated volume in Å³ per cell: 304.2
N(E_F) in states/eV/f.u.: 7.71

=====

First-principles (PBE-GGA) data for a geometry-optimized La2Tb3Tm2 structure, as listed in Alexandria.

Unit cell a=9.0064 b=9.0064 c=8.5936 alpha=118.30 beta=118.30 gamma=22.54
Closest atoms and distances in Å follow each position.
Sites, in units of the cell vectors:
La 0.0661 0.0661 0.2168  3 La 3.31-3.52, 5 Tb 3.48-3.66, 2 Tm 3.65
La 0.9339 0.9339 0.7832  3 La 3.31-3.52, 5 Tb 3.48-3.66, 2 Tm 3.65
Tb 0.2882 0.2882 0.3722  5 Tb 3.35-3.55, 3 La 3.48-3.66, 3 Tm 3.52-3.60
Tb 0.5000 0.5000 0.5000  4 Tb 3.35-3.52, 2 Tm 3.59, 4 La 3.62
Tb 0.7118 0.7118 0.6278  5 Tb 3.35-3.55, 3 La 3.48-3.66, 3 Tm 3.52-3.60
Tm 0.3468 0.3468 0.0342  4 Tm 3.52-3.63, 4 Tb 3.52-3.60, 4 La 3.65-3.83
Tm 0.6532 0.6532 0.9658  4 Tm 3.52-3.63, 4 Tb 3.52-3.60, 4 La 3.65-3.83

Values from the calculation:
Distance to the lowest polymorph of the same formula in eV/atom: 0.109
Mass density in g/cm3: 7.756
Calculated volume in Å³ per cell: 233.9
N(E_F) in states/eV/f.u.: 11.30

=====

First-principles (PBE-GGA) data for a geometry-optimized Na2InHgIr structure, as listed in Alexandria.

Unit cell a=5.3069 b=5.3069 c=5.1339 alpha=90.00 beta=90.00 gamma=90.00
Closest atoms and distances in Å follow each position.
Sites, in units of the cell vectors:
Na 0.0000 0.5000 0.0000  2 Hg 2.65
Na 0.5000 0.0000 0.0000  2 Hg 2.65
In 0.0000 0.0000 0.5000  8 Na 3.69, 4 Ir 3.75
Hg 0.5000 0.5000 0.0000  2 Ir 2.57, 4 Na 2.65
Ir 0.5000 0.5000 0.5000  2 Hg 2.57

Values from the calculation:
Total energy in eV/atom: -2.282
Mass density in g/cm3: 6.358
Calculated volume in Å³ per cell: 144.6
N(E_F) in states/eV/f.u.: 3.58

=====

First-principles (PBE-GGA) data for a geometry-optimized YWSe2 structure, as listed in Alexandria.

Unit cell a=3.5901 b=3.5901 c=6.2679 alpha=90.00 beta=90.00 gamma=90.00
Closest atoms and distances in Å follow each position.
Sites, in units of the cell vectors:
Y 0.0000 0.0000 0.0000  5 Se 2.81-2.97
W 0.5000 0.5000 0.6697  5 Se 2.69-3.00
Se 0.0000 0.0000 0.5264  4 W 2.69, 1 Y 2.97
Se 0.5000 0.5000 0.1905  4 Y 2.81, 1 W 3.00

Values from the calculation:
ΔE_f (raw) in eV/atom: -0.462
Distance to the lowest polymorph of the same formula in eV/atom: 0.077
Mass density in g/cm3: 8.852
Calculated volume in Å³ per cell: 80.8
N(E_F) in states/eV/f.u.: 1.61

=====

First-principles (PBE-GGA) data for a geometry-optimized YTcI structure, as listed in Alexandria.

Unit cell a=12.7631 b=12.7631 c=12.7631 alpha=18.57 beta=18.57 gamma=18.57
Closest atoms and distances in Å follow each position.
Sites, in units of the cell vectors:
Y 0.0575 0.0575 0.0575  6 Tc 3.11-3.32, 3 I 3.17
Y 0.9425 0.9425 0.9425  6 Tc 3.11-3.32, 3 I 3.17
Tc 0.3376 0.3376 0.3376  3 Tc 2.40
Tc 0.6624 0.6624 0.6624  3 Tc 2.40
I 0.2201 0.2201 0.2201  3 Y 3.17
I 0.7799 0.7799 0.7799  3 Y 3.17

Values from the calculation:
ΔE_f (raw) in eV/atom: -0.715
Mass density in g/cm3: 5.655
Calculated volume in Å³ per cell: 184.3
N(E_F) in states/eV/f.u.: 2.64

=====

First-principles (PBE-GGA) data for a geometry-optimized Pm3Ho3Mg structure, as listed in Alexandria.

Unit cell a=14.4452 b=14.4452 c=14.4452 alpha=24.82 beta=24.82 gamma=24.82
Closest atoms and distances in Å follow each position.
Sites, in units of the cell vectors:
Pm 0.1017 0.7691 0.4350  2 Mg 3.41-3.42, 3 Ho 3.52-3.53, 6 Pm 3.58-3.59
Pm 0.2309 0.5650 0.8983  2 Mg 3.41-3.42, 3 Ho 3.52-3.53, 6 Pm 3.58-3.59
Pm 0.4350 0.1017 0.7691  2 Mg 3.41-3.42, 3 Ho 3.52-3.53, 6 Pm 3.58-3.59
Pm 0.5650 0.8983 0.2309  2 Mg 3.41-3.42, 3 Ho 3.52-3.53, 6 Pm 3.58-3.59
Pm 0.7691 0.4350 0.1017  2 Mg 3.41-3.42, 3 Ho 3.52-3.53, 6 Pm 3.58-3.59
Pm 0.8983 0.2309 0.5650  2 Mg 3.41-3.42, 3 Ho 3.52-3.53, 6 Pm 3.58-3.59
Ho 0.0344 0.3675 0.7000  9 Ho 3.52-3.59, 3 Pm 3.52-3.53
Ho 0.3000 0.9656 0.6325  9 Ho 3.52-3.59, 3 Pm 3.52-3.53
Ho 0.3675 0.7000 0.0344  9 Ho 3.52-3.59, 3 Pm 3.52-3.53
Ho 0.6325 0.3000 0.9656  9 Ho 3.52-3.59, 3 Pm 3.52-3.53
Ho 0.7000 0.0344 0.3675  9 Ho 3.52-3.59, 3 Pm 3.52-3.53
Ho 0.9656 0.6325 0.3000  9 Ho 3.52-3.59, 3 Pm 3.52-3.53
Mg 0.1667 0.1667 0.1667  6 Pm 3.41-3.42, 3 Mg 3.58
Mg 0.8333 0.8333 0.8333  6 Pm 3.41-3.42, 3 Mg 3.58

Values from the calculation:
Distance to the lowest polymorph of the same formula in eV/atom: 0.073
Mass density in g/cm3: 6.785
Calculated volume in Å³ per cell: 467.0
N(E_F) in states/eV/f.u.: 9.67